## NpZn4Ga (PBE)

Data for an optimized crystal structure of NpZn4Ga.

Calculated formation energy: 0.07 eV/atom
SG: Pmma
Total magnetization: 4.41 μB/f.u.
Crystal system: orthorhombic
Excess energy over the best structure of this formula in the dataset: 0.0 kJ/mol of atoms

Lattice parameters (Å, degrees): 7.0053 4.2739 7.2872 90.00 90.00 90.00
Positions (direct):
Np: 0.2500 0.0000 0.1377
Np: 0.7500 0.0000 0.8623
Zn: 0.0000 0.0000 0.5000
Zn: 0.0544 0.5000 0.8251
Zn: 0.2500 0.5000 0.4322
Zn: 0.4456 0.5000 0.8251
Zn: 0.5000 0.0000 0.5000
Zn: 0.5544 0.5000 0.1749
Zn: 0.7500 0.5000 0.5678
Zn: 0.9456 0.5000 0.1749
Ga: 0.2500 0.0000 0.7391
Ga: 0.7500 0.0000 0.2609


## NpZnGa5 (PBE)

Data for an optimized crystal structure of NpZnGa5.

Calculated formation energy: -0.11 eV/atom
SG: P4/mmm
Total magnetization: 4.09 μB/f.u.
Crystal system: tetragonal

Lattice parameters (Å, degrees): 4.4464 4.4464 6.7643 90.00 90.00 90.00
Positions (direct):
Np: 0.0000 0.0000 0.0000
Zn: 0.0000 0.0000 0.5000
Ga: 0.0000 0.5000 0.2922
Ga: 0.0000 0.5000 0.7078
Ga: 0.5000 0.0000 0.2922
Ga: 0.5000 0.0000 0.7078
Ga: 0.5000 0.5000 0.0000


## Np2ZnGa8 (PBE)

Data for an optimized crystal structure of Np2ZnGa8.

Calculated formation energy: -0.15 eV/atom
SG: P4/mmm
Total magnetization: 8.12 μB/f.u.
Crystal system: tetragonal

Lattice parameters (Å, degrees): 4.3730 4.3730 11.0479 90.00 90.00 90.00
Positions (direct):
Np: 0.0000 0.0000 0.1901
Np: 0.0000 0.0000 0.8099
Zn: 0.0000 0.0000 0.5000
Ga: 0.0000 0.5000 0.0000
Ga: 0.0000 0.5000 0.3696
Ga: 0.0000 0.5000 0.6304
Ga: 0.5000 0.0000 0.0000
Ga: 0.5000 0.0000 0.3696
Ga: 0.5000 0.0000 0.6304
Ga: 0.5000 0.5000 0.1899
Ga: 0.5000 0.5000 0.8101


## NpZnGa2 (PBE)

Data for an optimized crystal structure of NpZnGa2.

Calculated formation energy: -0.07 eV/atom
SG: Pnma
Total magnetization: 4.55 μB/f.u.
Crystal system: orthorhombic

Lattice parameters (Å, degrees): 6.5076 4.5565 10.3116 90.00 90.00 90.00
Positions (direct):
Np: 0.2368 0.2500 0.1523
Np: 0.2632 0.7500 0.6523
Np: 0.7368 0.2500 0.3477
Np: 0.7632 0.7500 0.8477
Zn: 0.0436 0.7500 0.3734
Zn: 0.4564 0.2500 0.8734
Zn: 0.5436 0.7500 0.1266
Zn: 0.9564 0.2500 0.6266
Ga: 0.0622 0.2500 0.8610
Ga: 0.2460 0.2500 0.4457
Ga: 0.2540 0.7500 0.9457
Ga: 0.4378 0.7500 0.3610
Ga: 0.5622 0.2500 0.6390
Ga: 0.7460 0.2500 0.0543
Ga: 0.7540 0.7500 0.5543
Ga: 0.9378 0.7500 0.1390


Among the records above, which one has the lowest calculated formation energy?
Np2ZnGa8